1.
DFT (meta-GGA SCAN) results for a PBEsol-optimized structure of CsNb2Au.

a b c (Å): 4.7821 4.7821 4.7821
angles (deg): 60.00 60.00 60.00
Closest atoms and distances in Å follow each position.
Fractional coordinates of all 4 atoms:
Cs (0.0000, 0.0000, 0.0000)  8 Nb 2.93
Nb (0.2500, 0.2500, 0.2500)  4 Au 2.93, 4 Cs 2.93
Nb (0.7500, 0.7500, 0.7500)  4 Au 2.93, 4 Cs 2.93
Au (0.5000, 0.5000, 0.5000)  8 Nb 2.93

Output
Uncorrected energy   -42.09 eV per atom

***

2.
DFT (meta-GGA SCAN) results for a PBEsol-optimized structure of Cs2ScNbAu.

a b c (Å): 6.0474 6.0474 4.9278
angles (deg): 90.00 90.00 90.00
Closest atoms and distances in Å follow each position.
Fractional coordinates of all 5 atoms:
Cs (0.0000, 0.5000, 0.0000)  2 Nb 3.02
Cs (0.5000, 0.0000, 0.0000)  2 Nb 3.02
Sc (0.0000, 0.0000, 0.5000)  2 Nb 2.46
Nb (0.0000, 0.0000, 0.0000)  2 Sc 2.46
Au (0.5000, 0.5000, 0.5000)  8 Cs 3.90, 4 Sc 4.28

Output
Uncorrected energy   -37.25 eV per atom

***

3.
DFT (meta-GGA SCAN) results for a PBEsol-optimized structure of Cs2NiAu.

a b c (Å): 5.8802 5.8802 5.8802
angles (deg): 60.00 60.00 60.00
Closest atoms and distances in Å follow each position.
Fractional coordinates of all 4 atoms:
Cs (0.2500, 0.2500, 0.2500)  4 Au 3.60, 4 Ni 3.60
Cs (0.7500, 0.7500, 0.7500)  4 Au 3.60, 4 Ni 3.60
Ni (0.0000, 0.0000, 0.0000)  8 Cs 3.60
Au (0.5000, 0.5000, 0.5000)  8 Cs 3.60

Output
Uncorrected energy   -39.88 eV per atom

***

4.
DFT (meta-GGA SCAN) results for a PBEsol-optimized structure of CsNi2AuO.

a b c (Å): 4.8066 4.8066 4.1727
angles (deg): 90.00 90.00 90.00
Closest atoms and distances in Å follow each position.
Fractional coordinates of all 5 atoms:
Cs (0.0000, 0.0000, 0.0000)  8 Ni 3.18, 4 O 3.40
Ni (0.0000, 0.5000, 0.5000)  2 Au 2.40
Ni (0.5000, 0.0000, 0.5000)  2 Au 2.40
Au (0.5000, 0.5000, 0.5000)  2 O 2.09
O (0.5000, 0.5000, 0.0000)  2 Au 2.09

Output
Uncorrected energy   -28.42 eV per atom

***

5.
DFT (meta-GGA SCAN) results for a PBEsol-optimized structure of Cs7Au5O2.

a b c (Å): 10.1036 10.1036 10.1036
angles (deg): 145.90 123.48 67.68
Closest atoms and distances in Å follow each position.
Fractional coordinates of all 14 atoms:
Cs (0.0000, 0.0000, 0.0000)  2 O 2.78
Cs (0.1108, 0.8293, 0.2815)  1 O 2.87
Cs (0.2895, 0.5000, 0.7895)  2 O 2.96
Cs (0.4522, 0.1707, 0.2815)  1 O 2.87
Cs (0.5478, 0.8293, 0.7185)  1 O 2.87
Cs (0.7105, 0.5000, 0.2105)  2 O 2.96
Cs (0.8892, 0.1707, 0.7185)  1 O 2.87
Au (0.1487, 0.6487, 0.5000)  10 Cs 3.68-4.02, 2 Au 4.02
Au (0.3109, 0.3109, 0.0000)  8 Cs 3.58-3.76
Au (0.5000, 0.0000, 0.5000)  2 O 2.00
Au (0.6891, 0.6891, 0.0000)  8 Cs 3.58-3.76
Au (0.8513, 0.3513, 0.5000)  10 Cs 3.68-4.02, 2 Au 4.02
O (0.2908, 0.0000, 0.2908)  1 Au 2.00
O (0.7091, 0.0000, 0.7091)  1 Au 2.00

Output
Uncorrected energy   -45.26 eV per atom

***

6.
DFT (meta-GGA SCAN) results for a PBEsol-optimized structure of CsPAuO2.

a b c (Å): 4.0565 4.0565 7.1481
angles (deg): 90.00 90.00 90.00
Closest atoms and distances in Å follow each position.
Fractional coordinates of all 5 atoms:
Cs (0.0000, 0.0000, 0.0000)  4 O 2.03
P (0.0000, 0.0000, 0.5000)  4 Au 2.87
Au (0.5000, 0.5000, 0.5000)  4 P 2.87
O (0.0000, 0.5000, 0.0000)  2 Cs 2.03
O (0.5000, 0.0000, 0.0000)  2 Cs 2.03

Output
Uncorrected energy   -24.90 eV per atom

***

Asked for theoretical density across the records above, the calculation gives 11.07; 5.53; 6.02; 7.98; 6.80; 5.55 g cm⁻³ in order.
Asked for size of the total moment across the records above, the calculation gives 0.00; 0.02; 0.25; 0.43; 0.00; 0.22 μB per atom in order.